## KCaVO3 (PBE+U)

Data for crystalline KCaVO3 at its relaxed geometry.

Properties
**Theoretical density**: 2.50 g/cm3
**Calculated total energy**: -6.32 eV per atom

a = 6.453 Å, b = 6.453 Å, c = 11.089 Å
α = 90.00°, β = 90.00°, γ = 149.23°
Fractional positions:
K 0.219 0.781 0.750
K 0.781 0.219 0.250
Ca 0.000 0.000 0.000
Ca 0.000 0.000 0.500
V 0.486 0.514 0.750
V 0.514 0.486 0.250
O 0.095 0.905 0.250
O 0.425 0.575 0.111
O 0.425 0.575 0.389
O 0.575 0.425 0.611
O 0.575 0.425 0.889
O 0.905 0.095 0.750